1.
The following is a DFT calculation (GGA-PBE) of an optimized crystal structure of La3Zn2Rh7.

Unit cell a=5.490 b=5.490 c=9.007 alpha=72.26 beta=72.26 gamma=60.00
Atoms (fractional coordinates):
1 La 0.139 0.139 0.582
2 La 0.861 0.861 0.418
3 La 0.000 0.000 0.000
4 Zn 0.334 0.334 0.997
5 Zn 0.666 0.666 0.003
6 Rh 0.079 0.583 0.755
7 Rh 0.583 0.583 0.755
8 Rh 0.500 0.500 0.500
9 Rh 0.921 0.417 0.245
10 Rh 0.417 0.417 0.245
11 Rh 0.417 0.921 0.245
12 Rh 0.583 0.079 0.755

Results
The calculation puts the electronic total energy at -76.4 eV/cell. As for the formation energy: -636.5 meV/atom. Its density of states at the Fermi level is 0.56 states/eV per atom.


2.
The following is a DFT calculation (GGA-PBE) of an optimized crystal structure of SrFe4Ru.

Unit cell a=5.077 b=5.077 c=5.077 alpha=60.00 beta=60.00 gamma=60.00
Each line ends with the local moment (μB).
Atoms (fractional coordinates):
1 Fe 0.375 0.874 0.375  2.63
2 Fe 0.375 0.375 0.874  2.63
3 Fe 0.874 0.375 0.375  2.63
4 Fe 0.375 0.375 0.375  2.63
5 Sr 0.000 0.000 0.000  -0.07
6 Ru 0.750 0.750 0.750  1.18

Results
The calculation puts the electronic total energy at -41.8 eV/cell. As for the formation energy: 498.0 meV/atom. Its density of states at the Fermi level is 1.06 states/eV per atom.


3.
The following is a DFT calculation (GGA-PBE) of an optimized crystal structure of PAuI4.

Unit cell a=8.038 b=8.334 c=11.999 alpha=69.68 beta=82.51 gamma=67.96
Atoms (fractional coordinates):
1 Au 0.750 0.652 0.197
2 Au 0.250 0.348 0.803
3 P 0.250 0.877 0.746
4 P 0.750 0.123 0.254
5 I 0.518 0.962 0.202
6 I 0.464 0.731 0.612
7 I 0.482 0.038 0.798
8 I 0.964 0.843 0.388
9 I 0.536 0.269 0.388
10 I 0.982 0.336 0.202
11 I 0.018 0.664 0.798
12 I 0.036 0.157 0.612

Results
The calculation puts the electronic total energy at -29.7 eV/cell. Its density of states at the Fermi level is 0.00 states/eV per atom. The uncorrected formation energy is 0.00 eV per atom.


> Among the records above, which one has the highest electronic total energy?

PAuI4


> Which of these has the highest electronic total energy?

PAuI4


> Which formula does entry 2 have?

SrFe4Ru


> What is the electronic total energy in the first record?

-76.4 eV/cell